[1]
Compound: Pr3Sm6Y2Sc
Source: Alexandria
Functional: PBE-GGA
Structure: optimized geometry

Computed properties:
ρ: 6.43 g cm⁻³
DOS at the Fermi energy: 1.44 states/eV per atom

```
12
Lattice="3.1326 -5.4274 0.0000 3.1326 5.4274 0.0000 -2.0880 0.0000 11.7623" Properties=species:S:1:pos:R:3 pbc="T T T"
Pr 0.0000 0.0000 0.0000
Pr 3.1326 1.8066 0.0000
Pr 3.1326 -1.8066 0.0000
Sm 1.0579 1.7885 3.0229
Sm 0.0218 0.0000 8.7421
Sm 1.0579 -1.7885 3.0229
Sm 3.1192 1.7885 8.7394
Sm 4.1554 0.0000 3.0202
Sm 3.1192 -1.7885 8.7394
Y 2.0886 3.6191 5.8811
Y 2.0886 -3.6191 5.8811
Sc 2.0886 0.0000 5.8811
```

[2]
Compound: Pr4Sm2YSc
Source: Alexandria
Functional: PBE-GGA
Structure: optimized geometry

Computed properties:
ρ: 6.19 g cm⁻³
DOS at the Fermi energy: 1.37 states/eV per atom

```
8
Lattice="5.1430 0.0000 0.0000 0.0000 5.1662 0.0000 0.0000 0.0000 10.0749" Properties=species:S:1:pos:R:3 pbc="T T T"
Pr 0.0000 0.0000 2.4609
Pr 0.0000 0.0000 7.6141
Pr 2.5715 2.5831 2.4674
Pr 2.5715 2.5831 7.6075
Sm 0.0000 2.5831 0.0000
Sm 2.5715 0.0000 5.0375
Y 0.0000 2.5831 5.0375
Sc 2.5715 0.0000 0.0000
```

[3]
Compound: Pr3SmY6Sc2
Source: Alexandria
Functional: PBE-GGA
Structure: optimized geometry

Computed properties:
ρ: 5.18 g cm⁻³
DOS at the Fermi energy: 1.53 states/eV per atom

```
12
Lattice="3.0901 -5.3520 0.0000 3.0901 5.3520 0.0000 -2.0571 0.0000 11.5911" Properties=species:S:1:pos:R:3 pbc="T T T"
Pr 0.0000 0.0000 0.0000
Pr 3.0901 1.7881 0.0000
Pr 3.0901 -1.7881 0.0000
Sm 2.0616 0.0000 5.7955
Y 1.0187 1.7988 2.9964
Y -0.0141 0.0000 8.5964
Y 1.0187 -1.7988 2.9964
Y 3.1044 1.7988 8.5947
Y 4.1372 0.0000 2.9946
Y 3.1044 -1.7988 8.5947
Sc 2.0616 3.5664 5.7955
Sc 2.0616 -3.5664 5.7955
```

[4]
Compound: Pr6Sm2Y3Sc
Source: Alexandria
Functional: PBE-GGA
Structure: optimized geometry

Computed properties:
ρ: 6.00 g cm⁻³
DOS at the Fermi energy: 1.22 states/eV per atom

```
12
Lattice="3.1524 -5.4613 0.0000 3.1524 5.4613 0.0000 -2.1005 0.0000 11.7127" Properties=species:S:1:pos:R:3 pbc="T T T"
Pr 1.0363 1.8007 2.9068
Pr -0.0159 0.0000 8.8009
Pr 1.0363 -1.8007 2.9068
Pr 3.1679 1.8007 8.8060
Pr 4.2201 0.0000 2.9119
Pr 3.1679 -1.8007 8.8060
Sm 3.1524 1.8219 0.0000
Sm 3.1524 -1.8219 0.0000
Y 2.1021 3.6432 5.8564
Y 2.1021 0.0000 5.8564
Y 2.1021 -3.6432 5.8564
Sc 0.0000 0.0000 0.0000
```

[5]
Compound: Pr5Sm2YSc
Source: Alexandria
Functional: PBE-GGA
Structure: optimized geometry

Computed properties:
ρ: 6.08 g cm⁻³
DOS at the Fermi energy: 1.55 states/eV per atom

```
18
Lattice="-4.2494 4.2494 8.6209 4.2494 -4.2494 8.6209 4.2494 4.2494 -8.6209" Properties=species:S:1:pos:R:3 pbc="T T T"
Pr 0.0000 0.0000 0.0000
Pr 6.0859 1.8365 -2.4917
Pr 1.8365 2.4129 -2.4917
Pr 6.0859 1.8365 2.4917
Pr 1.8365 2.4129 2.4917
Pr 0.0000 0.0000 8.6209
Pr 2.4129 1.8365 6.1291
Pr -1.8365 2.4129 6.1291
Pr 2.4129 1.8365 11.1126
Pr -1.8365 2.4129 11.1126
Sm 3.1868 1.0626 0.0000
Sm 3.1868 -1.0626 8.6209
Sm 1.0626 5.3120 0.0000
Sm 1.0626 3.1868 8.6209
Y 0.0000 0.0000 4.3104
Y 0.0000 0.0000 12.9313
Sc 4.2494 0.0000 4.3104
Sc 0.0000 4.2494 4.3104
```

[6]
Compound: Pr2Sm5YSc
Source: Alexandria
Functional: PBE-GGA
Structure: optimized geometry

Computed properties:
ρ: 6.44 g cm⁻³
DOS at the Fermi energy: 1.44 states/eV per atom

```
18
Lattice="-4.2560 4.2560 8.3131 4.2560 -4.2560 8.3131 4.2560 4.2560 -8.3131" Properties=species:S:1:pos:R:3 pbc="T T T"
Pr 5.3066 1.0505 0.0000
Pr 1.0505 3.2055 0.0000
Pr 3.2055 1.0505 8.3131
Pr -1.0505 3.2055 8.3131
Sm 0.0000 0.0000 0.0000
Sm 2.4187 1.8373 -2.4154
Sm 2.4187 -1.8373 5.8977
Sm 2.4187 1.8373 2.4154
Sm 2.4187 -1.8373 10.7284
Sm 0.0000 0.0000 8.3131
Sm 1.8373 6.0934 -2.4154
Sm 1.8373 2.4187 5.8977
Sm 1.8373 6.0934 2.4154
Sm 1.8373 2.4187 10.7284
Y 0.0000 0.0000 4.1565
Y 0.0000 0.0000 12.4696
Sc 4.2560 0.0000 4.1565
Sc 0.0000 4.2560 4.1565
```

Calculated formation energy across the listed records, respectively: 30, 28, 43, 22, 287, 273 meV per atom.